1.
A plane-wave DFT calculation with PBE was carried out for a relaxed structure of CaMgCo.

Output
The value obtained for the total energy is -2.58 eV per atom. The space group is F-43m, No. 216.

abc: 4.8412 4.8412 4.8412
angles: 60.00 60.00 60.00
Fractional coordinates of all 3 atoms:
Ca  0.0000  0.0000  0.0000
Mg  0.7500  0.7500  0.7500
Co  0.2500  0.2500  0.2500

---

2.
A plane-wave DFT calculation with PBE was carried out for a relaxed structure of CaMg2Co.

Output
The value obtained for the total energy is -2.82 eV per atom. The space group is I-4m2, No. 119.

abc: 4.8910 4.8910 4.8910
angles: 119.66 119.66 90.60
Fractional coordinates of all 4 atoms:
Ca  0.0000  0.0000  0.0000
Mg  0.2500  0.7500  0.5000
Mg  0.5000  0.5000  0.0000
Co  0.7500  0.2500  0.5000

---

3.
A plane-wave DFT calculation with PBE was carried out for a relaxed structure of Ca2MgCo.

Output
The value obtained for the total energy is -2.96 eV per atom. The space group is Pm, No. 6.

abc: 4.3029 4.4130 6.0402
angles: 90.00 110.68 90.00
Fractional coordinates of all 4 atoms:
Ca  0.0000  0.0000  0.0000
Ca  0.2886  0.5000  0.5796
Mg  0.6989  0.0000  0.4019
Co  0.5836  0.5000  0.1663

---

4.
A plane-wave DFT calculation with PBE was carried out for a relaxed structure of CaMg2Co.

Output
The value obtained for the total energy is -2.59 eV per atom. The space group is I-42d, No. 122.

abc: 10.6953 10.6953 10.6953
angles: 157.47 157.47 32.07
Fractional coordinates of all 8 atoms:
Ca  0.0000  0.0000  0.0000
Ca  0.7500  0.2500  0.5000
Mg  0.1634  0.6250  0.0384
Mg  0.3750  0.4134  0.5384
Mg  0.5866  0.1250  0.9616
Mg  0.8750  0.8366  0.4616
Co  0.2500  0.7500  0.5000
Co  0.5000  0.5000  0.0000

---

5.
A plane-wave DFT calculation with PBE was carried out for a relaxed structure of Ca2MgCo.

Output
The value obtained for the total energy is -2.99 eV per atom. The space group is Pmmm, No. 47.

abc: 3.4470 3.5403 8.3051
angles: 90.00 90.00 90.00
Fractional coordinates of all 4 atoms:
Ca  0.0000  0.0000  0.1983
Ca  0.0000  0.0000  0.8017
Mg  0.5000  0.5000  0.5000
Co  0.5000  0.5000  0.0000

---

6.
A plane-wave DFT calculation with PBE was carried out for a relaxed structure of Ca2Mg2Co.

Output
The value obtained for the total energy is -2.59 eV per atom. The space group is P4/mbm, No. 127.

abc: 7.0857 7.0857 5.2085
angles: 90.00 90.00 90.00
Fractional coordinates of all 10 atoms:
Ca  0.1783  0.3217  0.0000
Ca  0.3217  0.8217  0.0000
Ca  0.6783  0.1783  0.0000
Ca  0.8217  0.6783  0.0000
Mg  0.1493  0.6493  0.5000
Mg  0.3507  0.1493  0.5000
Mg  0.6493  0.8507  0.5000
Mg  0.8507  0.3507  0.5000
Co  0.0000  0.0000  0.5000
Co  0.5000  0.5000  0.5000